# CaHfSc2, relaxed, DFT PBE
# DOS(E_F) = 1.553 states/eV/atom
# formation energy = 0.16 eV per atom
# space group = R-3m, No. 166
# total magnetic moment = 0.0 μB per cell
data_CaHfSc2
_space_group_name_H-M_alt 'P 1'
_space_group_IT_number 1
_cell_length_a 11.292
_cell_length_b 11.292
_cell_length_c 11.292
_cell_angle_alpha 16.97
_cell_angle_beta 16.97
_cell_angle_gamma 16.97
loop_
_space_group_symop_operation_xyz
'x,y,z'
loop_
_atom_site_label
_atom_site_type_symbol
_atom_site_fract_x
_atom_site_fract_y
_atom_site_fract_z
_atom_site_occupancy
Ca1 Ca 0.000 0.000 0.000 1
Hf1 Hf 0.500 0.500 0.500 1
Sc1 Sc 0.241 0.241 0.241 1
Sc2 Sc 0.759 0.759 0.759 1